A plane-wave DFT calculation with PBE was carried out for a geometry-optimized Ga2CSe structure.

As for the relative energy among the computed polymorphs: 1.297 eV/atom. Its symmetry is Fm-3m (225). The formation energy without anion corrections comes out at 1.229 eV/atom.

Cell: 4.4895 4.4895 4.4895 Å, 60.00 60.00 60.00°
Last column: nearest neighbours and their distance in Å.
Element x y z (fractional)
Ga 0.2500 0.2500 0.2500  4 Se 2.75, 4 C 2.75
Se 0.5000 0.5000 0.5000  8 Ga 2.75
Ga 0.7500 0.7500 0.7500  4 Se 2.75, 4 C 2.75
C 0.0000 0.0000 0.0000  8 Ga 2.75


A plane-wave DFT calculation with PBE was carried out for a geometry-optimized Li4CuN2 structure.

Its symmetry is R-3m (166). The formation energy without anion corrections comes out at -0.269 eV/atom.

Cell: 3.6034 3.6034 6.7254 Å, 74.46 74.46 60.00°
Last column: nearest neighbours and their distance in Å.
Element x y z (fractional)
N 0.0948 0.0948 0.7157  1 Cu 1.82, 1 Li 2.03
Li 0.7996 0.7996 0.6011  4 N 2.03-2.21
Li 0.4073 0.4073 0.7780  3 N 2.12, 3 Li 2.37
Cu 0.0000 0.0000 0.0000  2 N 1.82
Li 0.2004 0.2004 0.3989  4 N 2.03-2.21
N 0.9052 0.9052 0.2843  1 Cu 1.82, 1 Li 2.03
Li 0.5927 0.5927 0.2220  3 N 2.12, 3 Li 2.37


A plane-wave DFT calculation with PBE was carried out for a geometry-optimized LiPm2ZnCu6 structure.

The calculation puts the formation enthalpy at 0 K at -69 meV/atom. Its symmetry is C2/m (12).

Cell: 4.9312 8.4444 6.4596 Å, 50.29 67.55 90.00°
Last column: nearest neighbours and their distance in Å.
Element x y z (fractional)
Cu 0.7591 0.7568 0.9822  1 Li 2.43, 1 Zn 2.46, 4 Cu 2.46-2.50
Cu 0.2409 0.2432 0.0178  1 Li 2.43, 1 Zn 2.46, 4 Cu 2.46-2.50
Cu 0.2486 0.0687 0.5023  6 Cu 2.48-2.74, 1 Zn 2.60, 1 Li 2.68
Cu 0.7514 0.9313 0.4977  6 Cu 2.48-2.74, 1 Zn 2.60, 1 Li 2.68
Pm 0.2524 0.7063 0.4954  7 Cu 3.05-3.12, 2 Zn 3.29, 2 Li 3.31
Zn 0.0000 0.0000 0.0000  6 Cu 2.46-2.60
Li 0.5000 0.5000 0.0000  6 Cu 2.43-2.68
Cu 0.7415 0.2432 0.0180  1 Li 2.43, 1 Zn 2.46, 4 Cu 2.46-2.50
Cu 0.2585 0.7568 0.9820  1 Li 2.43, 1 Zn 2.46, 4 Cu 2.46-2.50
Pm 0.7476 0.2937 0.5046  7 Cu 3.05-3.12, 2 Zn 3.29, 2 Li 3.31


A plane-wave DFT calculation with PBE was carried out for a geometry-optimized RbVGeRh2 structure.

The calculation puts the formation enthalpy at 0 K at 601 meV/atom. Its symmetry is P4/mmm (123).

Cell: 4.6740 4.9740 4.6740 Å, 90.00 90.00 90.00°
Last column: nearest neighbours and their distance in Å.
Element x y z (fractional)
Rh 0.0000 0.0000 0.5000  2 V 2.34
V 0.0000 0.0000 0.0000  4 Rh 2.34, 2 Ge 2.49
Ge 0.0000 0.5000 0.0000  2 V 2.49
Rb 0.5000 0.5000 0.5000  4 Ge 3.31, 8 Rh 3.41
Rh 0.5000 0.0000 0.0000  2 V 2.34


A plane-wave DFT calculation with PBE was carried out for a geometry-optimized HfAgOF2 structure.

As for the relative energy among the computed polymorphs: 0.000 eV/atom. Its symmetry is P4/mmm (123). The formation energy without anion corrections comes out at -2.336 eV/atom.

Cell: 4.2927 4.2927 4.0164 Å, 90.00 90.00 90.00°
Last column: nearest neighbours and their distance in Å.
Element x y z (fractional)
Ag 0.5000 0.5000 0.5000  8 F 2.94, 4 O 3.04
F 0.0000 0.5000 0.0000  2 Hf 2.15
Hf 0.0000 0.0000 0.0000  2 O 2.01, 4 F 2.15
F 0.5000 0.0000 0.0000  2 Hf 2.15
O 0.0000 0.0000 0.5000  2 Hf 2.01


A plane-wave DFT calculation with PBE was carried out for a geometry-optimized MoOsW2 structure.

As for the relative energy among the computed polymorphs: 0.039 eV/atom. The calculation puts the formation enthalpy at 0 K at 174 meV/atom. Its symmetry is F-43m (216).

Cell: 4.4598 4.4598 4.4598 Å, 60.00 60.00 60.00°
Last column: nearest neighbours and their distance in Å.
Element x y z (fractional)
Mo 0.5000 0.5000 0.5000  4 W 2.73, 4 Os 2.73
W 0.0000 0.0000 0.0000  4 Os 2.73, 4 W 2.73
W 0.2500 0.2500 0.2500  4 Mo 2.73, 4 W 2.73
Os 0.7500 0.7500 0.7500  4 W 2.73, 4 Mo 2.73